First-principles (PBE) data for crystalline Hf2Zr3Zn at its relaxed geometry, as listed in Alexandria.

Summary:
polymorph energy (0 for the lowest one) = 14 meV per atom
N(E_F) = 0.92 states/eV per atom
formation energy = -50.0 meV/atom

```
data_Hf2Zr3Zn
_chemical_formula_sum 'Hf4 Zr6 Zn2'
_space_group_name_H-M_alt 'C m m m'
_space_group_IT_number 65
_space_group_name_Hall '-C 2 2'
_cell_length_a 4.428
_cell_length_b 13.257
_cell_length_c 4.366
_cell_angle_alpha 90.00
_cell_angle_beta 90.00
_cell_angle_gamma 90.00
loop_
_atom_site_label
_atom_site_fract_x
_atom_site_fract_y
_atom_site_fract_z
Hf1 0.000 0.165 0.000
Zr1 0.000 0.000 0.500
Zr2 0.000 0.337 0.500
Zn1 0.000 0.500 0.000
```

***

First-principles (PBE) data for crystalline Nd2HS3 at its relaxed geometry, as listed in Alexandria.

Summary:
N(E_F) = 0.77 states/eV per atom
calculated total energy = -34.18 eV per formula unit

```
data_Nd2HS3
_chemical_formula_sum 'Nd8 H4 S12'
_space_group_name_H-M_alt 'P n m a'
_space_group_IT_number 62
_cell_length_a 11.110
_cell_length_b 4.009
_cell_length_c 10.686
_cell_angle_alpha 90.00
_cell_angle_beta 90.00
_cell_angle_gamma 90.00
loop_
_space_group_symop_operation_xyz
'x,y,z'
'-x,-y,-z'
'-x+1/2,-y,z+1/2'
'x+1/2,y,-z+1/2'
'x+1/2,-y+1/2,-z+1/2'
'-x+1/2,y+1/2,z+1/2'
'-x,y+1/2,-z'
'x,-y+1/2,z'
loop_
_atom_site_label
_atom_site_fract_x
_atom_site_fract_y
_atom_site_fract_z
Nd1 0.025 0.250 0.183
Nd2 0.197 0.250 0.509
H1 0.133 0.750 0.140
S1 0.046 0.750 0.380
S2 0.127 0.250 0.936
S3 0.221 0.750 0.709
```

***

What is the N(E_F) in the second record? 0.77 states/eV per atom

***

Look up the N(E_F) of the second one. 0.77 states/eV per atom